Record 1
{"formula": "MoP2HS", "functional": "PBE-GGA", "state": "optimized geometry", "spacegroup": "P4/mmm", "mass_density_g_cm3": 5.067, "final_energy_ev_per_atom": -5.15, "de_polymorph_ev_per_atom": 0.000, "lattice": [[3.587, 0.000, 0.000], [0.000, 3.587, 0.000], [0.000, 0.000, 4.864]], "species": ["Mo", "P", "P", "H", "S"], "frac_coords": [[0.000, 0.000, 0.000], [0.000, 0.500, 0.500], [0.500, 0.000, 0.500], [0.500, 0.500, 0.500], [0.500, 0.500, 0.000]]}



Record 2
{"formula": "Pa3Ga12Ag", "functional": "PBE-GGA", "state": "optimized geometry", "ef_ev_per_atom": -0.258, "spacegroup": "P4/mmm", "mass_density_g_cm3": 8.786, "final_energy_ev_per_atom": -4.49, "lattice": [[4.299, 0.000, 0.000], [0.000, 4.299, 0.000], [0.000, 0.000, 16.747]], "species": ["Pa", "Pa", "Pa", "Ga", "Ga", "Ga", "Ga", "Ga", "Ga", "Ga", "Ga", "Ga", "Ga", "Ga", "Ga", "Ag"], "frac_coords": [[0.000, 0.000, 0.000], [0.000, 0.000, 0.258], [0.000, 0.000, 0.742], [0.000, 0.500, 0.129], [0.000, 0.500, 0.387], [0.000, 0.500, 0.613], [0.000, 0.500, 0.871], [0.500, 0.000, 0.129], [0.500, 0.000, 0.387], [0.500, 0.000, 0.613], [0.500, 0.000, 0.871], [0.500, 0.500, 0.000], [0.500, 0.500, 0.247], [0.500, 0.500, 0.500], [0.500, 0.500, 0.753], [0.000, 0.000, 0.500]]}



Record 3
{"formula": "BaScTl2", "functional": "PBE-GGA", "state": "optimized geometry", "ef_ev_per_atom": -0.113, "spacegroup": "Cmmm", "mass_density_g_cm3": 8.061, "final_energy_ev_per_atom": -3.36, "lattice": [[7.327, 0.000, 0.000], [0.000, 9.463, 0.000], [0.000, 0.000, 3.512]], "species": ["Ba", "Ba", "Sc", "Sc", "Tl", "Tl", "Tl", "Tl"], "frac_coords": [[0.000, 0.000, 0.000], [0.500, 0.500, 0.000], [0.000, 0.500, 0.000], [0.500, 0.000, 0.000], [0.250, 0.250, 0.500], [0.250, 0.750, 0.500], [0.750, 0.250, 0.500], [0.750, 0.750, 0.500]]}



Record 4
{"formula": "MoAsP2", "functional": "PBE-GGA", "state": "optimized geometry", "ef_ev_per_atom": 0.449, "spacegroup": "F-43m", "mass_density_g_cm3": 6.468, "final_energy_ev_per_atom": -6.13, "lattice": [[6.206, 0.000, 0.000], [0.000, 6.206, 0.000], [0.000, 0.000, 6.206]], "species": ["Mo", "Mo", "Mo", "Mo", "As", "As", "As", "As", "P", "P", "P", "P", "P", "P", "P", "P"], "frac_coords": [[0.000, 0.000, 0.000], [0.000, 0.500, 0.500], [0.500, 0.000, 0.500], [0.500, 0.500, 0.000], [0.250, 0.250, 0.250], [0.250, 0.750, 0.750], [0.750, 0.250, 0.750], [0.750, 0.750, 0.250], [0.000, 0.000, 0.500], [0.000, 0.500, 0.000], [0.250, 0.250, 0.750], [0.250, 0.750, 0.250], [0.500, 0.000, 0.000], [0.500, 0.500, 0.500], [0.750, 0.250, 0.250], [0.750, 0.750, 0.750]]}